Pu4AgGeAu2 | PBE | relaxed

Results
- DFT total energy: -9.20 eV per atom
- Total magnetic moment: 2.868 μB/atom
- Formation enthalpy at 0 K: -0.28 eV/atom

Unit cell a=5.1360 b=5.1360 c=8.9342 alpha=73.30 beta=73.30 gamma=60.00
Closest atoms and distances in Å follow each position.
Fractional positions:
Ge  0.5000  0.5000  0.5000  8 Pu 2.96-3.08
Au  0.2601  0.2601  0.2196  8 Pu 3.03-3.33
Au  0.7399  0.7399  0.7804  8 Pu 3.03-3.33
Pu  0.1331  0.1331  0.6007  3 Ge 3.08, 4 Au 3.21-3.33, 1 Ag 3.37, 3 Pu 3.42
Pu  0.6172  0.6172  0.1483  1 Ge 2.96, 4 Au 3.03-3.10, 3 Ag 3.22
Pu  0.3828  0.3828  0.8517  1 Ge 2.96, 4 Au 3.03-3.10, 3 Ag 3.22
Pu  0.8669  0.8669  0.3993  3 Ge 3.08, 4 Au 3.21-3.33, 1 Ag 3.37, 3 Pu 3.42
Ag  0.0000  0.0000  0.0000  8 Pu 3.22-3.37, 6 Au 3.50